[1]
The following is a DFT calculation (GGA-PBE) of an optimized crystal structure of Sn6Ge.

Output
**Symmetry**: No. 229
**DFT total energy**: -3.577 eV per atom

Unit cell a=7.0275 b=7.0275 c=7.0275 alpha=109.47 beta=109.47 gamma=109.47
With the nearest neighbours (Å) after each atom.
Fractional positions:
Sn1 0.2500 0.5000 0.7500  4 Sn 2.87
Sn2 0.2500 0.7500 0.5000  4 Sn 2.87
Sn3 0.5000 0.2500 0.7500  4 Sn 2.87
Sn4 0.5000 0.7500 0.2500  4 Sn 2.87
Sn5 0.7500 0.2500 0.5000  4 Sn 2.87
Sn6 0.7500 0.5000 0.2500  4 Sn 2.87
Ge1 0.0000 0.0000 0.0000  24 Sn 4.54

---

[2]
The following is a DFT calculation (GGA-PBE) of an optimized crystal structure of Re2TcCl.

Output
**Symmetry**: No. 65
**Energy above the most stable polymorph in this dataset**: 37.01 kJ per mole of atoms
**Formation energy without anion corrections**: 2.85 eV per formula unit

Unit cell a=2.7983 b=2.7983 c=8.9975 alpha=90.00 beta=90.00 gamma=118.47
With the nearest neighbours (Å) after each atom.
Fractional positions:
Re1 0.0000 0.0000 0.2458  2 Tc 2.63, 2 Cl 2.70, 6 Re 2.80-2.86
Re2 0.0000 0.0000 0.7542  2 Tc 2.63, 2 Cl 2.70, 6 Re 2.80-2.86
Tc1 0.5000 0.5000 0.0000  4 Re 2.63, 6 Tc 2.80-2.86
Cl1 0.5000 0.5000 0.5000  4 Re 2.70, 6 Cl 2.80-2.86

---

[3]
The following is a DFT calculation (GGA-PBE) of an optimized crystal structure of Y2Ir3.

Output
**Symmetry**: No. 43
**Energy above the most stable polymorph in this dataset**: 0.00 kJ per mole of atoms

Unit cell a=8.4225 b=5.4552 c=9.2751 alpha=63.69 beta=35.49 gamma=80.81
With the nearest neighbours (Å) after each atom.
Fractional positions:
Y1 0.1244 0.8756 0.2843  8 Ir 2.93-3.21
Y2 0.5343 0.9657 0.3744  8 Ir 2.93-3.21
Y3 0.8756 0.1244 0.7157  8 Ir 2.93-3.21
Y4 0.9657 0.5343 0.1256  8 Ir 2.93-3.21
Ir1 0.2308 0.2308 0.7692  4 Ir 2.54-2.59
Ir2 0.4377 0.5404 0.3116  4 Ir 2.54-2.73
Ir3 0.4808 0.4808 0.0192  4 Ir 2.54-2.59
Ir4 0.5404 0.4377 0.7103  4 Ir 2.54-2.73
Ir5 0.5397 0.9384 0.7096  4 Ir 2.54-2.73
Ir6 0.9384 0.5397 0.8123  4 Ir 2.54-2.73

---

[4]
The following is a DFT calculation (GGA-PBE) of an optimized crystal structure of SrAlRu.

Output
**Symmetry**: No. 129
**DFT total energy**: -5.204 eV per atom

Unit cell a=4.6118 b=4.6118 c=6.9411 alpha=90.00 beta=90.00 gamma=90.00
With the nearest neighbours (Å) after each atom.
Fractional positions:
Sr1 0.2500 0.2500 0.1842  5 Al 3.13-3.49, 4 Ru 3.18
Sr2 0.7500 0.7500 0.8158  5 Al 3.13-3.49, 4 Ru 3.18
Al1 0.2500 0.2500 0.6356  4 Ru 2.49
Al2 0.7500 0.7500 0.3644  4 Ru 2.49
Ru1 0.2500 0.7500 0.5000  4 Al 2.49
Ru2 0.7500 0.2500 0.5000  4 Al 2.49

---

[5]
The following is a DFT calculation (GGA-PBE) of an optimized crystal structure of Na3Sc3NbS8.

Output
**Symmetry**: No. 12
**Formation energy without anion corrections**: -23.34 eV per formula unit

Unit cell a=7.4001 b=7.4001 c=8.0022 alpha=117.61 beta=117.61 gamma=59.96
With the nearest neighbours (Å) after each atom.
Fractional positions:
Na1 0.0000 0.0000 0.0000  6 S 2.87
Na2 0.0000 0.5000 0.0000  6 S 2.87
Na3 0.5000 0.0000 0.0000  6 S 2.87
Sc1 0.0000 0.5000 0.5000  6 S 2.59
Sc2 0.5000 0.0000 0.5000  6 S 2.59
Sc3 0.5000 0.5000 0.5000  6 S 2.59
Nb1 0.0000 0.0000 0.5000  6 S 2.53
S1 0.2335 0.2335 0.7118  1 Nb 2.53, 2 Sc 2.59
S2 0.2335 0.7451 0.7118  1 Nb 2.53, 2 Sc 2.59
S3 0.2549 0.7665 0.2882  1 Nb 2.53, 2 Sc 2.59
S4 0.2611 0.2611 0.2837  3 Sc 2.59, 3 Na 2.87
S5 0.7389 0.7389 0.7163  3 Sc 2.59, 3 Na 2.87
S6 0.7451 0.2335 0.7118  1 Nb 2.53, 2 Sc 2.59
S7 0.7665 0.2549 0.2882  1 Nb 2.53, 2 Sc 2.59
S8 0.7665 0.7665 0.2882  1 Nb 2.53, 2 Sc 2.59

---

[6]
The following is a DFT calculation (GGA-PBE) of an optimized crystal structure of Sr4In3Pb.

Output
**Symmetry**: No. 25
**DFT total energy**: -2.791 eV per atom

Unit cell a=4.7994 b=4.8719 c=12.5267 alpha=90.00 beta=90.00 gamma=90.00
With the nearest neighbours (Å) after each atom.
Fractional positions:
Sr1 0.0000 0.0000 0.0000  5 In 3.51-3.59, 2 Pb 3.63
Sr2 0.0000 0.5000 0.2816  4 Pb 3.51, 3 In 3.60-3.63
Sr3 0.5000 0.0000 0.4987  1 Pb 3.52, 6 In 3.53-3.60
Sr4 0.5000 0.5000 0.7827  7 In 3.53-3.60
In1 0.0000 0.0000 0.7132  2 In 3.03
In2 0.0000 0.5000 0.5688  2 In 3.03
In3 0.5000 0.5000 0.0642  2 Pb 3.10
Pb1 0.5000 0.0000 0.2178  2 In 3.10

---

[7]
The following is a DFT calculation (GGA-PBE) of an optimized crystal structure of InSb2Ru.

Output
**Symmetry**: No. 65
**Formation energy without anion corrections**: -0.09 eV per formula unit

Unit cell a=6.2408 b=6.2408 c=3.2880 alpha=90.00 beta=90.00 gamma=129.40
With the nearest neighbours (Å) after each atom.
Fractional positions:
In1 0.0000 0.0000 0.0000  2 Ru 2.67
Sb1 0.3143 0.6857 0.5000  2 Ru 2.66
Sb2 0.6857 0.3143 0.5000  2 Ru 2.66
Ru1 0.5000 0.5000 0.0000  4 Sb 2.66, 2 In 2.67

---

[8]
The following is a DFT calculation (GGA-PBE) of an optimized crystal structure of LiV2Sn.

Output
**Symmetry**: No. 122
**DFT total energy**: -5.470 eV per atom

Unit cell a=5.6742 b=5.6742 c=5.6742 alpha=101.47 beta=101.47 gamma=127.04
With the nearest neighbours (Å) after each atom.
Fractional positions:
Li1 0.0000 0.0000 0.0000  2 Sn 2.53, 4 V 2.56
Li2 0.7500 0.2500 0.5000  2 Sn 2.53, 4 V 2.56
V1 0.1126 0.1250 0.4876  2 V 2.54, 2 Li 2.56, 2 Sn 2.68
V2 0.3750 0.8874 0.0124  2 V 2.54, 2 Li 2.56, 2 Sn 2.68
V3 0.6374 0.6250 0.5124  2 V 2.54, 2 Li 2.56, 2 Sn 2.68
V4 0.8750 0.3626 0.9876  2 V 2.54, 2 Li 2.56, 2 Sn 2.68
Sn1 0.2500 0.7500 0.5000  2 Li 2.53, 4 V 2.68
Sn2 0.5000 0.5000 0.0000  2 Li 2.53, 4 V 2.68